Below is a geometry-optimized TlFeCuS3 structure, with properties calculated at the PBE level.

Output
Magnetic moment in μB per formula unit: 1.59
SG: Pnma, No. 62
VASP energy in eV/cell: -113.64
Crystal system: orthorhombic

Cell: 13.9118 3.5208 9.3287 Å, 90.00 90.00 90.00°
Atoms (fractional coordinates):
Tl: 0.2372 0.2500 0.0539
Tl: 0.2628 0.7500 0.5539
Tl: 0.7372 0.2500 0.4461
Tl: 0.7628 0.7500 0.9461
Fe: 0.0136 0.2500 0.3363
Fe: 0.4864 0.7500 0.8363
Fe: 0.5136 0.2500 0.1637
Fe: 0.9864 0.7500 0.6637
Cu: 0.0140 0.7500 0.0964
Cu: 0.4860 0.2500 0.5964
Cu: 0.5140 0.7500 0.4036
Cu: 0.9860 0.2500 0.9036
S: 0.0708 0.2500 0.5661
S: 0.0887 0.7500 0.8621
S: 0.1185 0.7500 0.2800
S: 0.3815 0.2500 0.7800
S: 0.4113 0.2500 0.3621
S: 0.4292 0.7500 0.0661
S: 0.5708 0.2500 0.9339
S: 0.5887 0.7500 0.6379
S: 0.6185 0.7500 0.2200
S: 0.8815 0.2500 0.7200
S: 0.9113 0.2500 0.1379
S: 0.9292 0.7500 0.4339